[1]
# Al2Tc2As | Alexandria | PBE | optimized geometry
data_Al2Tc2As
_chemical_formula_sum 'Al4 Tc4 As2'
_symmetry_space_group_name_H-M 'P 4/m b m'
_symmetry_Int_Tables_number 127
_symmetry_space_group_name_Hall '-P 4 2ab'
_cell_length_a 6.435
_cell_length_b 6.435
_cell_length_c 3.799
_cell_angle_alpha 90.00
_cell_angle_beta 90.00
_cell_angle_gamma 90.00
loop_
_atom_site_label
_atom_site_fract_x
_atom_site_fract_y
_atom_site_fract_z
_atom_site_occupancy
Al1 0.147 0.353 0.000 1
Tc1 0.156 0.656 0.500 1
As1 0.000 0.000 0.500 1
# **N(E_F)**: 5.2 states/eV/cell
# **Energy of formation from the pure elements**: -199 meV per atom
# **Density**: 6.9 Mg/m³

=====

[2]
# ZnS6F2 | Alexandria | PBE | optimized geometry
data_ZnS6F2
_chemical_formula_sum 'Zn1 S6 F2'
_symmetry_space_group_name_H-M 'P -1'
_symmetry_Int_Tables_number 2
_cell_length_a 4.025
_cell_length_b 7.232
_cell_length_c 7.290
_cell_angle_alpha 76.18
_cell_angle_beta 81.12
_cell_angle_gamma 85.20
loop_
_symmetry_equiv_pos_as_xyz
'x,y,z'
'-x,-y,-z'
loop_
_atom_site_label
_atom_site_fract_x
_atom_site_fract_y
_atom_site_fract_z
_atom_site_occupancy
Zn1 0.000 0.000 0.000 1
S1 0.026 0.549 0.746 1
S2 0.155 0.701 0.291 1
S3 0.156 0.247 0.468 1
F1 0.368 0.915 0.857 1
# **ΔE_f (raw)**: -497 kJ/mol of formula units
# **Density**: 2.4 Mg/m³